No. 1
The following is a DFT calculation (PBE) of a relaxed structure of Mg6Ga12Hg.

Summary:
Raw total energy (eV per atom): -2.45
V (Å³/atom): 20.1
N(E_F) (states/eV/cell): 8.2

abc: 7.267 7.267 7.267
angles: 93.69 93.69 93.69
Atoms (fractional coordinates):
Mg1 0.217 0.372 0.763
Mg2 0.237 0.783 0.628
Mg3 0.372 0.763 0.217
Mg4 0.628 0.237 0.783
Mg5 0.763 0.217 0.372
Mg6 0.783 0.628 0.237
Ga1 0.035 0.957 0.295
Ga2 0.043 0.705 0.965
Ga3 0.116 0.449 0.357
Ga4 0.295 0.035 0.957
Ga5 0.357 0.116 0.449
Ga6 0.449 0.357 0.116
Ga7 0.551 0.643 0.884
Ga8 0.643 0.884 0.551
Ga9 0.705 0.965 0.043
Ga10 0.884 0.551 0.643
Ga11 0.957 0.295 0.035
Ga12 0.965 0.043 0.705
Hg1 0.500 0.500 0.500

***

No. 2
The following is a DFT calculation (PBE) of a relaxed structure of Te2PCl.

Summary:
Uncorrected formation energy (meV per atom): 215
Raw total energy (eV per atom): -3.17
V (Å³/atom): 30.7
Distance to the lowest polymorph of the same formula (meV/atom): 310
N(E_F) (states/eV/cell): 4.1

abc: 3.556 8.055 8.584
angles: 90.00 90.00 90.00
Atoms (fractional coordinates):
Te1 0.000 0.000 0.221
Te2 0.000 0.000 0.779
Te3 0.500 0.500 0.279
Te4 0.500 0.500 0.721
P1 0.000 0.500 0.500
P2 0.500 0.000 0.000
Cl1 0.000 0.500 0.000
Cl2 0.500 0.000 0.500

***

No. 3
The following is a DFT calculation (PBE) of a relaxed structure of Dy3ThSc2Se6.

Summary:
Uncorrected formation energy (meV per atom): -1638
Raw total energy (eV per atom): -6.20
V (Å³/atom): 23.3
N(E_F) (states/eV/cell): 6.9

abc: 8.983 8.983 8.147
angles: 101.69 101.69 25.82
Atoms (fractional coordinates):
Dy1 0.000 0.000 0.000
Dy2 0.341 0.341 0.667
Dy3 0.659 0.659 0.333
Th1 0.000 0.000 0.500
Sc1 0.336 0.336 0.170
Sc2 0.664 0.664 0.830
Se1 0.172 0.172 0.076
Se2 0.174 0.174 0.599
Se3 0.493 0.493 0.235
Se4 0.507 0.507 0.765
Se5 0.826 0.826 0.401
Se6 0.828 0.828 0.924

***

No. 4
The following is a DFT calculation (PBE) of a relaxed structure of Sc2SeBr.

Summary:
Uncorrected formation energy (meV per atom): -1200
Raw total energy (eV per atom): -5.65
V (Å³/atom): 29.5
Distance to the lowest polymorph of the same formula (meV/atom): 37
N(E_F) (states/eV/cell): 5.3

abc: 3.787 11.964 5.205
angles: 90.00 90.00 90.00
Atoms (fractional coordinates):
Sc1 0.000 0.031 0.000
Sc2 0.000 0.773 0.204
Sc3 0.500 0.227 0.704
Sc4 0.500 0.969 0.500
Se1 0.000 0.835 0.704
Se2 0.500 0.165 0.204
Br1 0.000 0.380 0.692
Br2 0.500 0.620 0.192